Entry from Alexandria: an optimized crystal structure of Mn2F5 (GGA+U).

Values from the calculation:
- uncorrected energy (eV per atom) = -5.96

Lattice parameters (Å, degrees): 10.984 5.356 8.020 90.00 112.38 90.00
Space group C2/c (No. 15)
One atom of each set of equivalent atoms:
Mn1 0.117 0.040 0.203 [8 per cell]
F1 0.000 0.291 0.250 [4 per cell]
F2 0.071 0.124 0.926 [8 per cell]
F3 0.227 0.243 0.696 [8 per cell]